P | DFT (GGA-PBE) results for a relaxed structure of ZrAsW.

Cell lengths 6.7278, 6.5036, 3.0250 Å; angles 80.96, 72.68, 26.36 degrees
Fractional positions:
W  0.3433  0.3433  0.6567
Zr  0.6616  0.6616  0.3384
As  0.9951  0.9951  0.0049

Space group: Fmm2, No. 42
Size of the total moment (μB/f.u.): 0.000
Volume (Å³/f.u.): 54.2



Q | DFT (GGA-PBE) results for a relaxed structure of ZrAsW.

Cell lengths 3.3253, 3.3255, 11.7457 Å; angles 90.00, 90.00, 120.00 degrees
Fractional positions:
As  0.2778  0.5556  0.8557
As  0.2778  0.5556  0.1443
Zr  0.6111  0.2221  0.6776
Zr  0.6111  0.2221  0.3224
W  0.2778  0.5555  0.5000
W  0.6111  0.2223  0.0000

Space group: P-6m2, No. 187
Size of the total moment (μB/f.u.): 0.000
Volume (Å³/f.u.): 56.2



How do the energies compare? Relative to the most stable structure, in eV/atom: P 0.106; Q 0.000.



P | DFT (GGA-PBE) results for a relaxed structure of YAs4.

Cell lengths 5.5518, 5.5518, 5.5518 Å; angles 109.47, 109.47, 109.47 degrees
Fractional positions:
As  0.5000  0.5000  0.5000
As  0.5000  0.0000  0.0000
As  0.0000  0.0000  0.5000
As  0.0000  0.5000  0.0000
Y  0.0000  0.0000  0.0000

Space group: Im-3m, No. 229
Size of the total moment (μB/f.u.): 0.000
Volume (Å³/f.u.): 131.7



Q | DFT (GGA-PBE) results for a relaxed structure of YAs4.

Cell lengths 5.3757, 5.3757, 5.3757 Å; angles 90.00, 90.00, 90.00 degrees
Fractional positions:
As  0.0000  0.0000  0.0000
As  0.5000  0.0000  0.5000
As  0.0000  0.5000  0.5000
As  0.5000  0.5000  0.0000
Y  0.5000  0.5000  0.5000

Space group: Pm-3m, No. 221
Size of the total moment (μB/f.u.): 0.004
Volume (Å³/f.u.): 155.3



How do the energies compare? Relative to the most stable structure, in eV/atom: P 0.000; Q 0.752.



P | DFT (GGA-PBE) results for a relaxed structure of Y5As4.

Cell lengths 8.5076, 8.5076, 8.5076 Å; angles 93.38, 93.38, 151.90 degrees
Fractional positions:
As  0.7559  0.0000  0.7559
As  0.0000  0.7559  0.7559
As  0.0000  0.2441  0.2441
As  0.2441  0.0000  0.2441
Y  0.6634  0.6634  0.3269
Y  0.6634  0.3366  0.0000
Y  0.3366  0.3366  0.6731
Y  0.0000  0.0000  0.0000
Y  0.3366  0.6634  0.0000

Space group: I4/mmm, No. 139
Size of the total moment (μB/f.u.): 0.686
Volume (Å³/f.u.): 281.4



Q | DFT (GGA-PBE) results for a relaxed structure of Y5As4.

Cell lengths 8.7113, 8.7113, 6.4146 Å; angles 90.00, 90.00, 120.00 degrees
Fractional positions:
Y  0.0000  0.7381  0.2500
Y  0.6667  0.3333  0.5000
Y  0.7381  0.7381  0.7500
Y  0.0000  0.2619  0.7500
Y  0.3333  0.6667  0.5000
Y  0.3333  0.6667  0.0000
Y  0.2619  0.0000  0.7500
Y  0.7381  0.0000  0.2500
Y  0.2619  0.2619  0.2500
Y  0.6667  0.3333  0.0000
As  0.3950  0.3950  0.7500
As  0.3950  0.0000  0.2500
As  0.0000  0.0000  0.5000
As  0.0000  0.6050  0.7500
As  0.0000  0.3950  0.2500
As  0.6050  0.6050  0.2500
As  0.0000  0.0000  0.0000
As  0.6050  0.0000  0.7500

Space group: P6_3/mcm, No. 193
Size of the total moment (μB/f.u.): 0.002
Volume (Å³/f.u.): 210.8



How do the energies compare? Relative to the most stable structure, in eV/atom: P 0.404; Q 0.000.



P | DFT (GGA-PBE) results for a relaxed structure of Y2As3.

Cell lengths 9.5575, 9.5575, 9.5575 Å; angles 23.61, 23.61, 23.61 degrees
Fractional positions:
As  0.1977  0.1977  0.1977
As  0.0000  0.0000  0.0000
As  0.8023  0.8023  0.8023
Y  0.3946  0.3946  0.3946
Y  0.6054  0.6054  0.6054

Space group: R-3m, No. 166
Size of the total moment (μB/f.u.): 0.000
Volume (Å³/f.u.): 123.0



Q | DFT (GGA-PBE) results for a relaxed structure of Y2As3.

Cell lengths 8.5572, 8.2163, 5.6359 Å; angles 73.67, 67.13, 39.20 degrees
Fractional positions:
As  0.8100  0.9351  0.4843
As  0.1145  0.8855  0.8855
As  0.3645  0.1355  0.1355
As  0.7657  0.4794  0.4400
As  0.3149  0.4400  0.4794
As  0.7706  0.4843  0.9351
Y  0.9217  0.6766  0.0186
Y  0.2314  0.8669  0.3283
Y  0.3831  0.0186  0.6766
Y  0.5734  0.3283  0.8669

Space group: Fdd2, No. 43
Size of the total moment (μB/f.u.): 0.000
Volume (Å³/f.u.): 115.3



How do the energies compare? Relative to the most stable structure, in eV/atom: P 0.283; Q 0.000.



P | DFT (GGA-PBE) results for a relaxed structure of Y3As4.

Cell lengths 11.6184, 11.6184, 11.6184 Å; angles 160.13, 160.13, 28.24 degrees
Fractional positions:
Y  0.0000  0.0000  0.0000
Y  0.3114  0.3114  0.0000
Y  0.6886  0.6886  0.0000
As  0.8190  0.8190  0.0000
As  0.5534  0.5534  0.0000
As  0.4466  0.4466  0.0000
As  0.1810  0.1810  0.0000

Space group: I4/mmm, No. 139
Size of the total moment (μB/f.u.): 0.000
Volume (Å³/f.u.): 181.1



Q | DFT (GGA-PBE) results for a relaxed structure of Y3As4.

Cell lengths 6.8040, 6.8040, 4.5565 Å; angles 90.00, 90.00, 120.00 degrees
Fractional positions:
Y  0.5000  0.0000  0.0000
Y  0.0000  0.5000  0.0000
Y  0.5000  0.5000  0.0000
As  0.0000  0.0000  0.7456
As  0.0000  0.0000  0.2544
As  0.6667  0.3333  0.5000
As  0.3333  0.6667  0.5000

Space group: P6/mmm, No. 191
Size of the total moment (μB/f.u.): 0.000
Volume (Å³/f.u.): 182.7



How do the energies compare? Relative to the most stable structure, in eV/atom: P 0.000; Q 0.570.



P | DFT (GGA-PBE) results for a relaxed structure of YZrAs3.

Cell lengths 5.2334, 5.2334, 5.2334 Å; angles 90.00, 90.00, 90.00 degrees
Fractional positions:
As  0.5000  0.0000  0.0000
As  0.0000  0.0000  0.5000
As  0.0000  0.5000  0.0000
Y  0.0000  0.0000  0.0000
Zr  0.5000  0.5000  0.5000

Space group: Pm-3m, No. 221
Size of the total moment (μB/f.u.): 0.002
Volume (Å³/f.u.): 143.3



Q | DFT (GGA-PBE) results for a relaxed structure of YZrAs3.

Cell lengths 5.1264, 5.1264, 5.1264 Å; angles 90.00, 90.00, 90.00 degrees
Fractional positions:
As  0.0000  0.0000  0.5000
As  0.5000  0.0000  0.0000
As  0.0000  0.5000  0.0000
Zr  0.0000  0.0000  0.0000
Y  0.5000  0.5000  0.5000

Space group: Pm-3m, No. 221
Size of the total moment (μB/f.u.): 0.000
Volume (Å³/f.u.): 134.7



How do the energies compare? Relative to the most stable structure, in eV/atom: P 0.783; Q 0.000.



P | DFT (GGA-PBE) results for a relaxed structure of ZnAs4.

Cell lengths 4.8140, 4.8140, 4.8140 Å; angles 90.00, 90.00, 90.00 degrees
Fractional positions:
As  0.5000  0.5000  0.0000
As  0.0000  0.0000  0.0000
As  0.5000  0.0000  0.5000
As  0.0000  0.5000  0.5000
Zn  0.5000  0.5000  0.5000

Space group: Pm-3m, No. 221
Size of the total moment (μB/f.u.): 0.000
Volume (Å³/f.u.): 111.6



Q | DFT (GGA-PBE) results for a relaxed structure of ZnAs4.

Cell lengths 5.1915, 5.1915, 5.1915 Å; angles 109.47, 109.47, 109.47 degrees
Fractional positions:
Zn  0.0000  0.0000  0.0000
As  0.0000  0.5000  0.0000
As  0.5000  0.0000  0.0000
As  0.0000  0.0000  0.5000
As  0.5000  0.5000  0.5000

Space group: Im-3m, No. 229
Size of the total moment (μB/f.u.): 0.000
Volume (Å³/f.u.): 107.7



R | DFT (GGA-PBE) results for a relaxed structure of ZnAs4.

Cell lengths 5.7933, 5.7933, 5.7933 Å; angles 96.31, 96.31, 141.27 degrees
Fractional positions:
As  0.2822  0.5983  0.8805
As  0.5983  0.7178  0.3161
As  0.4017  0.2822  0.6839
As  0.7178  0.4017  0.1195
Zn  0.0000  0.0000  0.0000

Space group: I4/m, No. 87
Size of the total moment (μB/f.u.): 0.000
Volume (Å³/f.u.): 114.8



How do the energies compare? Relative to the most stable structure, in eV/atom: P 0.573; Q 0.104; R 0.000.



P | DFT (GGA-PBE) results for a relaxed structure of Zn5As3.

Cell lengths 8.0535, 8.0535, 5.3318 Å; angles 90.00, 90.00, 120.00 degrees
Fractional positions:
As  0.3329  0.3329  0.2500
As  0.0000  0.6671  0.2500
As  0.3329  0.0000  0.7500
As  0.6671  0.0000  0.2500
As  0.6671  0.6671  0.7500
As  0.0000  0.3329  0.7500
Zn  0.0000  0.3209  0.2500
Zn  0.6667  0.3333  0.5000
Zn  0.3209  0.0000  0.2500
Zn  0.0000  0.6791  0.7500
Zn  0.6791  0.0000  0.7500
Zn  0.6667  0.3333  0.0000
Zn  0.3333  0.6667  0.5000
Zn  0.3333  0.6667  0.0000
Zn  0.6791  0.6791  0.2500
Zn  0.3209  0.3209  0.7500

Space group: P6_3/mcm, No. 193
Size of the total moment (μB/f.u.): 0.000
Volume (Å³/f.u.): 149.7



Q | DFT (GGA-PBE) results for a relaxed structure of Zn5As3.

Cell lengths 8.6325, 8.8288, 6.9539 Å; angles 102.30, 98.28, 136.69 degrees
Fractional positions:
As  0.5652  0.8209  0.5096
As  0.3056  0.0275  0.4647
As  0.7756  0.2718  0.1624
As  0.2479  0.2501  0.0232
As  0.1128  0.6176  0.8480
As  0.6206  0.6276  0.9962
Zn  0.3571  0.0587  0.1181
Zn  0.8937  0.1831  0.8915
Zn  0.0125  0.0387  0.3758
Zn  0.1783  0.6711  0.4986
Zn  0.7376  0.2048  0.5049
Zn  0.6022  0.5584  0.4178
Zn  0.2788  0.4675  0.6408
Zn  0.0577  0.8738  0.6901
Zn  0.7009  0.4761  0.7284
Zn  0.5469  0.8521  0.1298

Space group: P1, No. 1
Size of the total moment (μB/f.u.): 0.000
Volume (Å³/f.u.): 158.9



How do the energies compare? Relative to the most stable structure, in eV/atom: P 0.155; Q 0.000.